Entry 1:
The following is a GGA-PBEsol calculation of crystalline Li2AlAg at its relaxed geometry, from Alexandria.

a = 2.8535 Å, b = 2.8535 Å, c = 7.6344 Å
α = 90.00°, β = 90.00°, γ = 90.00°
Atoms (fractional coordinates):
Li 0.0000 0.0000 0.2413
Li 0.0000 0.0000 0.7587
Al 0.5000 0.5000 0.5000
Ag 0.5000 0.5000 0.0000

Properties
Formation energy: -0.147 eV per atom
SG: P4/mmm
Uncorrected energy: -11.9 eV for the cell shown

---

Entry 2:
The following is a GGA-PBEsol calculation of crystalline NbTe3Pt at its relaxed geometry, from Alexandria.

a = 5.1752 Å, b = 5.1752 Å, c = 5.1752 Å
α = 90.00°, β = 90.00°, γ = 90.00°
Atoms (fractional coordinates):
Nb 0.0000 0.0000 0.0000
Te 0.0000 0.5000 0.5000
Te 0.5000 0.0000 0.5000
Te 0.5000 0.5000 0.0000
Pt 0.5000 0.5000 0.5000

Properties
SG: Pm-3m
Energy relative to the elements, uncorrected: 0.793 eV/atom
Uncorrected energy: -24.4 eV for the cell shown

---

Entry 3:
The following is a GGA-PBEsol calculation of crystalline Hf5Al3 at its relaxed geometry, from Alexandria.

a = 8.0430 Å, b = 8.0430 Å, c = 5.5981 Å
α = 90.00°, β = 90.00°, γ = 120.00°
Atoms (fractional coordinates):
Hf 0.0000 0.2363 0.2500
Hf 0.0000 0.7637 0.7500
Hf 0.2363 0.0000 0.2500
Hf 0.2363 0.2363 0.7500
Hf 0.3333 0.6667 0.0000
Hf 0.3333 0.6667 0.5000
Hf 0.6667 0.3333 0.0000
Hf 0.6667 0.3333 0.5000
Hf 0.7637 0.0000 0.7500
Hf 0.7637 0.7637 0.2500
Al 0.0000 0.3972 0.7500
Al 0.0000 0.6028 0.2500
Al 0.3972 0.0000 0.7500
Al 0.3972 0.3972 0.2500
Al 0.6028 0.0000 0.2500
Al 0.6028 0.6028 0.7500

Properties
Formation energy: -0.278 eV per atom
SG: P6_3/mcm
Uncorrected energy: -134.0 eV for the cell shown

---

Entry 4:
The following is a GGA-PBEsol calculation of crystalline InPt2Rh at its relaxed geometry, from Alexandria.

a = 4.7768 Å, b = 4.7768 Å, c = 4.7768 Å
α = 130.07°, β = 130.07°, γ = 73.30°
Atoms (fractional coordinates):
In 0.0000 0.0000 0.0000
Pt 0.5000 0.5000 0.0000
Pt 0.7500 0.2500 0.5000
Rh 0.2500 0.7500 0.5000

Properties
Formation energy: -0.245 eV per atom
SG: I-4m2
Uncorrected energy: -26.0 eV for the cell shown